[1]
The following is a PBE calculation of crystalline Ba2BeCl at its relaxed geometry, from the Alexandria database.

Geometry as POSCAR:
```
Ba2BeCl
1.0
4.0902 0.0000 0.0000
0.0000 4.0190 0.0000
-0.0310 0.0000 8.8713
Ba Be Cl
2 1 1
Direct
0.0005 0.0000 0.2179
0.9995 0.0000 0.7821
0.5000 0.5000 0.0000
0.0000 0.5000 0.5000
```

Computed properties:
calculated density: 3.63 g/cm3
total magnetization: 0.0 μB per formula unit
distance to the lowest polymorph of the same formula: 9 meV per atom
space group: P2/m, No. 10
E: -2.92 eV/atom

---

[2]
The following is a PBE calculation of crystalline Cs2PaAuO6 at its relaxed geometry, from the Alexandria database.

Geometry as POSCAR:
```
Cs2PaAuO6
1.0
3.1936 1.8438 10.1968
-3.1936 1.8438 10.1968
0.0000 -3.6877 10.1968
Cs Pa Au O
4 2 2 12
Direct
0.1334 0.1334 0.1334
0.2793 0.2793 0.2793
0.7207 0.7207 0.7207
0.8666 0.8666 0.8666
0.4022 0.4022 0.4022
0.5978 0.5978 0.5978
0.0000 0.0000 0.0000
0.5000 0.5000 0.5000
0.1781 0.5935 0.5935
0.1981 0.1981 0.7141
0.1981 0.7141 0.1981
0.2859 0.8019 0.8019
0.4065 0.4065 0.8219
0.4065 0.8219 0.4065
0.5935 0.1781 0.5935
0.5935 0.5935 0.1781
0.7141 0.1981 0.1981
0.8019 0.2859 0.8019
0.8019 0.8019 0.2859
0.8219 0.4065 0.4065
```

Computed properties:
calculated density: 7.28 g/cm3
total magnetization: 0.0 μB per formula unit
space group: R-3m, No. 166
E: -6.12 eV/atom

---

[3]
The following is a PBE calculation of crystalline NiMoPb3 at its relaxed geometry, from the Alexandria database.

Geometry as POSCAR:
```
NiMoPb3
1.0
5.3887 0.0000 0.0000
0.0000 5.3887 0.0000
0.0000 0.0000 5.3887
Ni Mo Pb
1 1 3
Direct
0.0000 0.0000 0.0000
0.5000 0.5000 0.5000
0.0000 0.5000 0.5000
0.5000 0.0000 0.5000
0.5000 0.5000 0.0000
```

Computed properties:
calculated density: 8.24 g/cm3
DFT formation energy: 1029 meV/atom
total magnetization: 2.0 μB per formula unit
distance to the lowest polymorph of the same formula: 144 meV per atom
space group: Pm-3m, No. 221
E: -4.52 eV/atom

---

[4]
The following is a PBE calculation of crystalline Tl2NiPdC at its relaxed geometry, from the Alexandria database.

Geometry as POSCAR:
```
Tl2NiPdC
1.0
5.3012 0.0000 0.0000
0.0000 5.3012 0.0000
0.0000 0.0000 4.6857
Tl Ni Pd C
2 1 1 1
Direct
0.0000 0.5000 0.0000
0.5000 0.0000 0.0000
0.0000 0.0000 0.5000
0.0000 0.0000 0.0000
0.5000 0.5000 0.5000
```

Computed properties:
calculated density: 7.39 g/cm3
DFT formation energy: 1677 meV/atom
total magnetization: 3.3 μB per formula unit
space group: P4/mmm, No. 123
E: -3.31 eV/atom

---

[5]
The following is a PBE calculation of crystalline K2HgPb at its relaxed geometry, from the Alexandria database.

Geometry as POSCAR:
```
K2HgPb
1.0
1.9610 1.1322 11.6202
-1.9610 1.1322 11.6202
0.0000 -2.2644 11.6202
K Hg Pb
2 1 1
Direct
0.2495 0.2495 0.2495
0.7505 0.7505 0.7505
0.5000 0.5000 0.5000
0.0000 0.0000 0.0000
```

Computed properties:
calculated density: 5.21 g/cm3
DFT formation energy: -36 meV/atom
total magnetization: 0.1 μB per formula unit
space group: R-3m, No. 166
E: -1.59 eV/atom

---

[6]
The following is a PBE calculation of crystalline PmReC2 at its relaxed geometry, from the Alexandria database.

Geometry as POSCAR:
```
PmReC2
1.0
1.6364 0.9448 5.6199
-1.6364 0.9448 5.6199
0.0000 -1.8895 5.6199
Pm Re C
1 1 2
Direct
0.0000 0.0000 0.0000
0.5000 0.5000 0.5000
0.2334 0.2334 0.2334
0.7666 0.7666 0.7666
```

Computed properties:
calculated density: 11.32 g/cm3
DFT formation energy: 216 meV/atom
total magnetization: 0.0 μB per formula unit
space group: R-3m, No. 166
E: -8.70 eV/atom

---

[7]
The following is a PBE calculation of crystalline Th4BiSb2 at its relaxed geometry, from the Alexandria database.

Geometry as POSCAR:
```
Th4BiSb2
1.0
2.1464 -7.2077 0.0000
2.1464 7.2077 0.0000
0.0000 0.0000 15.3330
Th Bi Sb
8 2 4
Direct
0.0000 0.0000 0.0000
0.0000 0.0000 0.5000
0.2878 0.7122 0.6316
0.2878 0.7122 0.8684
0.4135 0.5865 0.2500
0.5865 0.4135 0.7500
0.7122 0.2878 0.1316
0.7122 0.2878 0.3684
0.0830 0.9170 0.2500
0.9170 0.0830 0.7500
0.3537 0.6463 0.0587
0.3537 0.6463 0.4413
0.6463 0.3537 0.5587
0.6463 0.3537 0.9413
```

Computed properties:
calculated density: 9.66 g/cm3
total magnetization: 0.0 μB per formula unit
space group: Cmcm, No. 63
E: -6.46 eV/atom

---

[8]
The following is a PBE calculation of crystalline LaInGa2 at its relaxed geometry, from the Alexandria database.

Geometry as POSCAR:
```
LaInGa2
1.0
4.6533 0.0000 0.0000
0.0000 4.6533 0.0000
0.0000 0.0000 4.4398
La In Ga
1 1 2
Direct
0.0000 0.0000 0.0000
0.5000 0.5000 0.0000
0.0000 0.5000 0.5000
0.5000 0.0000 0.5000
```

Computed properties:
calculated density: 6.79 g/cm3
DFT formation energy: -479 meV/atom
total magnetization: 0.0 μB per formula unit
space group: P4/mmm, No. 123
E: -3.91 eV/atom

---

Question: What is the total magnetization in the first record?
Answer: 0.0 μB per formula unit

---

Question: Among the records above, which one has the highest calculated density?
Answer: PmReC2

---

Please write out number 3 again, unchanged.
The following is a PBE calculation of crystalline NiMoPb3 at its relaxed geometry, from the Alexandria database.

Geometry as POSCAR:
```
NiMoPb3
1.0
5.3887 0.0000 0.0000
0.0000 5.3887 0.0000
0.0000 0.0000 5.3887
Ni Mo Pb
1 1 3
Direct
0.0000 0.0000 0.0000
0.5000 0.5000 0.5000
0.0000 0.5000 0.5000
0.5000 0.0000 0.5000
0.5000 0.5000 0.0000
```

Computed properties:
calculated density: 8.24 g/cm3
DFT formation energy: 1029 meV/atom
total magnetization: 2.0 μB per formula unit
distance to the lowest polymorph of the same formula: 144 meV per atom
space group: Pm-3m, No. 221
E: -4.52 eV/atom

---

Question: Among the records above, which one has the lowest calculated density?
Answer: Ba2BeCl